# 1
{"formula": "AgWS2N", "functional": "PBE", "state": "optimized geometry", "lattice": [[4.8155, 0.0000, 0.0000], [0.0000, 4.8155, 0.0000], [0.0000, 0.0000, 3.8116]], "species": ["W", "Ag", "S", "S", "N"], "fractional_positions": [[0.5000, 0.5000, 0.5000], [0.0000, 0.0000, 0.0000], [0.5000, 0.0000, 0.0000], [0.0000, 0.5000, 0.0000], [0.0000, 0.0000, 0.5000]], "crystal_system": "tetragonal", "de_polymorph_mev_per_atom": 1813, "formation_energy_uncorrected_ev_per_atom": 2.00}

---

# 2
{"formula": "YAgS2N", "functional": "PBE", "state": "optimized geometry", "lattice": [[-1.9232, 4.4797, -0.5005], [-1.9617, -1.3217, -4.2921], [-3.3262, -1.2163, 1.8947]], "species": ["Ag", "Y", "S", "S", "N"], "fractional_positions": [[0.0000, 0.0000, 0.0000], [0.5000, 0.5000, 0.5000], [0.0000, 0.5000, 0.0000], [0.5000, 0.0000, 0.0000], [0.0000, 0.0000, 0.5000]], "crystal_system": "tetragonal", "de_polymorph_mev_per_atom": 0, "formation_energy_uncorrected_ev_per_atom": 0.17}

---

# 3
{"formula": "YAgSN2", "functional": "PBE", "state": "optimized geometry", "lattice": [[-2.0637, 3.2517, -1.4879], [-2.7026, 0.0854, 3.9353], [2.7067, 2.5431, 1.8037]], "species": ["Y", "S", "Ag", "N", "N"], "fractional_positions": [[0.5000, 0.5000, 0.5000], [0.0000, 0.5000, 0.0000], [0.0000, 0.0000, 0.0000], [0.5000, 0.0000, 0.0000], [0.0000, 0.0000, 0.5000]], "crystal_system": "tetragonal", "de_polymorph_mev_per_atom": 0, "formation_energy_uncorrected_ev_per_atom": 0.73}

---

# 4
{"formula": "YAgSN2", "functional": "PBE", "state": "optimized geometry", "lattice": [[4.4324, 0.0000, 0.0000], [0.0000, 4.4324, 0.0000], [0.0000, 0.0000, 5.4304]], "species": ["Ag", "S", "N", "N", "Y"], "fractional_positions": [[0.5000, 0.5000, 0.5000], [0.0000, 0.0000, 0.5000], [0.5000, 0.0000, 0.0000], [0.0000, 0.5000, 0.0000], [0.0000, 0.0000, 0.0000]], "crystal_system": "tetragonal", "de_polymorph_mev_per_atom": 215, "formation_energy_uncorrected_ev_per_atom": 0.95}

---

# 5
{"formula": "YAgS2N", "functional": "PBE", "state": "optimized geometry", "lattice": [[5.2851, 0.0000, 0.0000], [0.0000, 5.2851, 0.0000], [0.0000, 0.0000, 4.3827]], "species": ["N", "S", "S", "Y", "Ag"], "fractional_positions": [[0.0000, 0.0000, 0.5000], [0.5000, 0.0000, 0.0000], [0.0000, 0.5000, 0.0000], [0.0000, 0.0000, 0.0000], [0.5000, 0.5000, 0.5000]], "crystal_system": "tetragonal", "de_polymorph_mev_per_atom": 191, "formation_energy_uncorrected_ev_per_atom": 0.36}

---

# 6
{"formula": "ZrAgSN2", "functional": "PBE", "state": "optimized geometry", "lattice": [[-2.4507, 3.2781, -0.4970], [-1.1472, -1.4182, -3.6975], [-4.1036, -2.7169, 2.3153]], "species": ["Zr", "N", "N", "S", "Ag"], "fractional_positions": [[0.0000, 0.0000, 0.0000], [0.0000, 0.5000, 0.0000], [0.5000, 0.0000, 0.0000], [0.0000, 0.0000, 0.5000], [0.5000, 0.5000, 0.5000]], "crystal_system": "tetragonal", "de_polymorph_mev_per_atom": 0, "formation_energy_uncorrected_ev_per_atom": 0.48}

---

Q: What is the formula in the second record?
A: YAgS2N